VASP calculation (PBE-GGA) on a relaxed HfN crystal. Values from VASP.

Cell and atoms, written as Quantum ESPRESSO input:
```
&SYSTEM
  ibrav = 0, nat = 16, ntyp = 2
/
ATOMIC_SPECIES
Hf 178.49 Hf.upf
N 14.01 N.upf
ATOMIC_POSITIONS angstrom
Hf -3.2933 1.1884 -1.4986
Hf -5.8027 0.3337 -3.2172
Hf -6.1403 2.3912 -0.8436
Hf -4.6289 3.2551 -3.4801
Hf -8.2596 2.9805 -3.7585
Hf -3.3199 4.6629 -0.3753
Hf -2.6553 0.6128 -5.0477
Hf -5.6305 -1.0878 0.1420
N -1.5055 0.5433 -0.6851
N -6.6965 -1.2248 -4.2403
N -7.3949 3.0314 0.6698
N -4.2684 4.8185 -4.7839
N -6.4718 2.3354 -2.9449
N -4.2137 3.1045 -1.3984
N -3.9098 1.2530 -3.5343
N -5.2699 0.4756 -1.1619
CELL_PARAMETERS angstrom
-2.4835 6.1213 0.5820
-1.4812 0.0136 -6.4640
-5.9678 -2.5508 1.3622
```

Output
Final energy = -10.339 eV/atom
Energy relative to the elements, uncorrected = -1199 meV/atom